Entry 1:
SCAN GeO2, PBEsol geometry; raw formation energy = -498 kJ/mol of formula units
1.0
4.968 0.000 0.000
0.000 4.968 0.000
0.000 0.000 7.170
Ge O
4 8
Cartesian
0.868 0.868 0.000
1.616 3.352 5.378
3.352 1.616 1.793
4.099 4.099 3.585
0.842 3.845 3.885
1.123 4.125 6.871
1.361 1.641 5.677
1.641 1.361 1.493
3.326 3.606 5.078
3.606 3.326 2.092
3.845 0.842 3.286
4.125 1.123 0.300



Entry 2:
SCAN ZrCr2Tc, PBEsol geometry; DFT formation energy = -0.038 eV per atom; energy above the most stable polymorph in this dataset = 0.0 meV per atom
1.0
3.080 0.000 0.000
0.000 4.304 0.000
0.000 0.000 4.352
Zr Cr Tc
1 2 1
Cartesian
0.000 0.000 0.000
0.000 2.152 2.176
1.540 0.000 2.176
1.540 2.152 0.000



Entry 3:
SCAN MnTcRh2, PBEsol geometry; DFT formation energy = -0.238 eV per atom; energy above the most stable polymorph in this dataset = 0.0 meV per atom
1.0
2.659 0.000 0.000
0.000 3.738 0.000
0.000 0.000 5.280
Mn Tc Rh
1 1 2
Cartesian
0.000 0.000 0.000
0.000 0.000 2.640
1.330 1.869 1.310
1.330 1.869 3.970



Entry 4:
SCAN ErTlO3, PBEsol geometry; raw formation energy = -828 kJ/mol of formula units
1.0
4.332 0.000 0.000
0.000 4.332 0.000
0.000 0.000 4.332
Er Tl O
1 1 3
Cartesian
0.000 0.000 0.000
2.166 2.166 2.166
0.000 0.000 2.166
0.000 2.166 0.000
2.166 0.000 0.000



| no. | spin magnetization (μB per formula unit) | N(E_F) (states/eV/f.u.) | raw total energy (eV per atom) |
| --- | --- | --- | --- |
| 1 | 0.00 | 0.0 | -12.238 |
| 2 | 0.45 | 2.3 | -25.670 |
| 3 | 3.18 | 2.8 | -30.452 |
| 4 | 2.00 | 4.6 | -29.995 |